VASP calculation (PBE) on crystalline LiMn2BPb at its relaxed geometry.

Values from the calculation:
Formation energy   1551 meV/atom
Space-group type   P4/mmm (123)
Calculated total energy   -22.882 eV/f.u.
D(E_F)   0.5141 states/eV per atom

abc: 5.2078 5.2078 4.6120
angles: 90.00 90.00 90.00
Fractional coordinates of all 5 atoms:
Li 0.0000 0.0000 0.0000
Mn 0.0000 0.5000 0.5000
Mn 0.5000 0.0000 0.5000
B 0.5000 0.5000 0.0000
Pb 0.5000 0.5000 0.5000